Compound: NaDyF3
Source: the Alexandria database
Functional: GGA-PBE
Structure: optimized geometry

The calculation puts the raw formation energy at -3144 meV per atom.

The space group is C2/m (No. 12) and the conventional cell measures 12.9421, 4.2023 and 6.5280 Å, with angles of 90.00, 109.99 and 90.00 degrees. Symmetry generates all atoms from Na at (0.1185, 0.0000, 0.3264), Dy at (0.0993, 0.5000, 0.8067), F at (0.0834, 0.5000, 0.4327), F at (0.0897, 0.0000, 0.6959) and F at (0.2247, 0.0000, 0.1216).

***

Compound: Sm2Tm3Cd
Source: the Alexandria database
Functional: GGA-PBE
Structure: optimized geometry

The formation energy from the elements is 149 meV/atom.

The space group is Imm2 (No. 44) and the conventional cell measures 3.3955, 17.0789 and 6.4994 Å, with angles of 90.00, 90.00 and 90.00 degrees. Symmetry generates all atoms from Sm at (0.0000, 0.1918, 0.0000), Tm at (0.0000, 0.1311, 0.5068), Tm at (0.0000, 0.5000, 0.3135) and Cd at (0.0000, 0.0000, 0.2056).

***

Compound: ZrSb2PdI
Source: the Alexandria database
Functional: GGA-PBE
Structure: optimized geometry

The calculation puts the raw formation energy at 465 meV per atom. As for the polymorph energy (0 for the lowest one): 0.0000 eV/atom.

The space group is P4/mmm (No. 123) and the conventional cell measures 5.1888, 5.1888 and 5.3384 Å, with angles of 90.00, 90.00 and 90.00 degrees. Symmetry generates all atoms from Zr at (0.0000, 0.0000, 0.0000), Sb at (0.0000, 0.5000, 0.5000), Pd at (0.5000, 0.5000, 0.5000) and I at (0.5000, 0.5000, 0.0000).

***

Compound: Dy2MgSb4
Source: the Alexandria database
Functional: GGA-PBE
Structure: optimized geometry

The calculation puts the raw formation energy at -688 meV per atom.

The space group is P-4m2 (No. 115) and the conventional cell measures 4.2316, 4.2316 and 11.1294 Å, with angles of 90.00, 90.00 and 90.00 degrees. Symmetry generates all atoms from Dy at (0.0000, 0.5000, 0.2248), Mg at (0.0000, 0.0000, 0.5000), Sb at (0.0000, 0.0000, 0.0000), Sb at (0.0000, 0.5000, 0.6753) and Sb at (0.5000, 0.5000, 0.0000).

***

Computed electronic total energy (eV per atom) in order:
-5.451; -3.812; -4.243; -4.587
Computed total magnetic moment (μB per cell) in order:
0.000; 0.000; 0.624; 0.000